Version P
# NdHo2Au

An optimized crystal structure of NdHo2Au (PBE, Alexandria). Values from VASP.

Quantum ESPRESSO input file:
```
&SYSTEM
  ibrav = 0, nat = 4, ntyp = 3
/
ATOMIC_SPECIES
Nd 144.24 Nd.upf
Ho 164.93 Ho.upf
Au 196.97 Au.upf
CELL_PARAMETERS angstrom
3.6267 0.0000 0.0000
0.0000 3.6267 0.0000
0.0000 0.0000 8.5730
ATOMIC_POSITIONS crystal
Nd 0.0000 0.0000 0.0000
Ho 0.5000 0.5000 0.2992
Ho 0.5000 0.5000 0.7008
Au 0.0000 0.0000 0.5000
```

For the spin magnetization, the calculation gives 0.0 μB/f.u. As for the density of states at the Fermi level: 5.615 states/eV per cell.

Version Q
# NdHo2Au

An optimized crystal structure of NdHo2Au (PBE, Alexandria). Values from VASP.

Quantum ESPRESSO input file:
```
&SYSTEM
  ibrav = 0, nat = 4, ntyp = 3
/
ATOMIC_SPECIES
Nd 144.24 Nd.upf
Ho 164.93 Ho.upf
Au 196.97 Au.upf
CELL_PARAMETERS angstrom
1.8640 1.0762 9.9819
-1.8640 1.0762 9.9819
0.0000 -2.1524 9.9819
ATOMIC_POSITIONS crystal
Nd 0.0000 0.0000 0.0000
Ho 0.2343 0.2343 0.2343
Ho 0.7657 0.7657 0.7657
Au 0.5000 0.5000 0.5000
```

For the spin magnetization, the calculation gives 0.0 μB/f.u. As for the density of states at the Fermi level: 5.330 states/eV per cell.

Least stable = version Q

Version P
# NdHo3Au2

An optimized crystal structure of NdHo3Au2 (PBE, Alexandria). Values from VASP.

Quantum ESPRESSO input file:
```
&SYSTEM
  ibrav = 0, nat = 12, ntyp = 3
/
ATOMIC_SPECIES
Nd 144.24 Nd.upf
Ho 164.93 Ho.upf
Au 196.97 Au.upf
CELL_PARAMETERS angstrom
4.9793 0.0000 0.0000
0.0000 8.9757 0.0000
0.0000 0.0000 7.1844
ATOMIC_POSITIONS crystal
Nd 0.0000 0.0746 0.0000
Nd 0.0000 0.9254 0.5000
Ho 0.0000 0.3325 0.6368
Ho 0.0000 0.6675 0.1368
Ho 0.5000 0.1711 0.3382
Ho 0.5000 0.4292 0.9748
Ho 0.5000 0.5708 0.4748
Ho 0.5000 0.8289 0.8382
Au 0.0000 0.3539 0.2366
Au 0.0000 0.6461 0.7366
Au 0.5000 0.1575 0.7407
Au 0.5000 0.8425 0.2407
```

For the spin magnetization, the calculation gives 0.0 μB/f.u. As for the density of states at the Fermi level: 13.144 states/eV per cell.

Version Q
# NdHo3Au2

An optimized crystal structure of NdHo3Au2 (PBE, Alexandria). Values from VASP.

Quantum ESPRESSO input file:
```
&SYSTEM
  ibrav = 0, nat = 12, ntyp = 3
/
ATOMIC_SPECIES
Nd 144.24 Nd.upf
Ho 164.93 Ho.upf
Au 196.97 Au.upf
CELL_PARAMETERS angstrom
8.0927 -2.5959 0.0000
8.0927 2.5959 0.0000
-3.4810 0.0000 7.7848
ATOMIC_POSITIONS crystal
Nd 0.1350 0.1350 0.2022
Nd 0.8650 0.8650 0.7978
Ho 0.0640 0.0640 0.7338
Ho 0.3060 0.3060 0.0040
Ho 0.3734 0.3734 0.4917
Ho 0.6266 0.6266 0.5083
Ho 0.6940 0.6940 0.9960
Ho 0.9360 0.9360 0.2662
Au 0.2167 0.2167 0.6277
Au 0.4970 0.4970 0.1627
Au 0.5030 0.5030 0.8373
Au 0.7833 0.7833 0.3723
```

For the spin magnetization, the calculation gives 0.0 μB/f.u. As for the density of states at the Fermi level: 11.403 states/eV per cell.

Least stable = version Q

Version P
# NdHoRhAu

An optimized crystal structure of NdHoRhAu (PBE, Alexandria). Values from VASP.

Quantum ESPRESSO input file:
```
&SYSTEM
  ibrav = 0, nat = 4, ntyp = 4
/
ATOMIC_SPECIES
Nd 144.24 Nd.upf
Ho 164.93 Ho.upf
Rh 102.91 Rh.upf
Au 196.97 Au.upf
CELL_PARAMETERS angstrom
4.6378 0.0000 0.0000
0.0000 1.9210 5.2805
0.0000 -1.9210 5.2805
ATOMIC_POSITIONS crystal
Nd 0.0000 0.0000 0.0000
Ho 0.5000 0.7194 0.7194
Rh 0.0000 0.2634 0.2634
Au 0.5000 0.4356 0.4356
```

For the spin magnetization, the calculation gives 0.0 μB/f.u. As for the density of states at the Fermi level: 2.690 states/eV per cell.

Version Q
# NdHoRhAu

An optimized crystal structure of NdHoRhAu (PBE, Alexandria). Values from VASP.

Quantum ESPRESSO input file:
```
&SYSTEM
  ibrav = 0, nat = 4, ntyp = 4
/
ATOMIC_SPECIES
Nd 144.24 Nd.upf
Ho 164.93 Ho.upf
Rh 102.91 Rh.upf
Au 196.97 Au.upf
CELL_PARAMETERS angstrom
0.0000 3.5700 3.5700
3.5700 0.0000 3.5700
3.5700 3.5700 0.0000
ATOMIC_POSITIONS crystal
Nd 0.0000 0.0000 0.0000
Ho 0.5000 0.5000 0.5000
Rh 0.2500 0.2500 0.2500
Au 0.7500 0.7500 0.7500
```

For the spin magnetization, the calculation gives 0.0 μB/f.u. As for the density of states at the Fermi level: 3.995 states/eV per cell.

Least stable = version Q

Version P
# NdHoZnAu

An optimized crystal structure of NdHoZnAu (PBE, Alexandria). Values from VASP.

Quantum ESPRESSO input file:
```
&SYSTEM
  ibrav = 0, nat = 4, ntyp = 4
/
ATOMIC_SPECIES
Nd 144.24 Nd.upf
Ho 164.93 Ho.upf
Zn 65.41 Zn.upf
Au 196.97 Au.upf
CELL_PARAMETERS angstrom
0.0000 3.6423 3.6423
3.6423 0.0000 3.6423
3.6423 3.6423 0.0000
ATOMIC_POSITIONS crystal
Nd 0.0000 0.0000 0.0000
Ho 0.5000 0.5000 0.5000
Zn 0.7500 0.7500 0.7500
Au 0.2500 0.2500 0.2500
```

For the spin magnetization, the calculation gives 0.0 μB/f.u. As for the density of states at the Fermi level: 2.029 states/eV per cell.

Version Q
# NdHoZnAu

An optimized crystal structure of NdHoZnAu (PBE, Alexandria). Values from VASP.

Quantum ESPRESSO input file:
```
&SYSTEM
  ibrav = 0, nat = 4, ntyp = 4
/
ATOMIC_SPECIES
Nd 144.24 Nd.upf
Ho 164.93 Ho.upf
Zn 65.41 Zn.upf
Au 196.97 Au.upf
CELL_PARAMETERS angstrom
3.6402 0.0000 0.0000
0.0000 3.6402 0.0000
0.0000 0.0000 7.2430
ATOMIC_POSITIONS crystal
Nd 0.0000 0.0000 0.0000
Ho 0.0000 0.0000 0.4959
Zn 0.5000 0.5000 0.2628
Au 0.5000 0.5000 0.7194
```

For the spin magnetization, the calculation gives 0.0 μB/f.u. As for the density of states at the Fermi level: 3.588 states/eV per cell.

Least stable = version P

Version P
# Ho12Ni6Au

An optimized crystal structure of Ho12Ni6Au (PBE, Alexandria). Values from VASP.

Quantum ESPRESSO input file:
```
&SYSTEM
  ibrav = 0, nat = 19, ntyp = 3
/
ATOMIC_SPECIES
Ho 164.93 Ho.upf
Ni 58.69 Ni.upf
Au 196.97 Au.upf
CELL_PARAMETERS angstrom
-4.7854 4.7854 4.7854
4.7854 -4.7854 4.7854
4.7854 4.7854 -4.7854
ATOMIC_POSITIONS crystal
Ho 0.1147 0.8145 0.3002
Ho 0.1855 0.3002 0.4857
Ho 0.1855 0.6998 0.8853
Ho 0.3002 0.1147 0.8145
Ho 0.3002 0.4857 0.1855
Ho 0.4857 0.1855 0.3002
Ho 0.5143 0.8145 0.6998
Ho 0.6998 0.5143 0.8145
Ho 0.6998 0.8853 0.1855
Ho 0.8145 0.3002 0.1147
Ho 0.8145 0.6998 0.5143
Ho 0.8853 0.1855 0.6998
Ni 0.1254 0.6254 0.5000
Ni 0.3746 0.5000 0.8746
Ni 0.5000 0.1254 0.6254
Ni 0.5000 0.8746 0.3746
Ni 0.6254 0.5000 0.1254
Ni 0.8746 0.3746 0.5000
Au 0.0000 0.0000 0.0000
```

For the spin magnetization, the calculation gives 0.0 μB/f.u. As for the density of states at the Fermi level: 24.018 states/eV per cell.

Version Q
# Ho12Ni6Au

An optimized crystal structure of Ho12Ni6Au (PBE, Alexandria). Values from VASP.

Quantum ESPRESSO input file:
```
&SYSTEM
  ibrav = 0, nat = 19, ntyp = 3
/
ATOMIC_SPECIES
Ho 164.93 Ho.upf
Ni 58.69 Ni.upf
Au 196.97 Au.upf
CELL_PARAMETERS angstrom
6.3741 3.6801 3.4783
-6.3741 3.6801 3.4783
0.0000 -7.3602 3.4783
ATOMIC_POSITIONS crystal
Ho 0.0721 0.6678 0.9220
Ho 0.0780 0.9279 0.3322
Ho 0.1716 0.4123 0.5569
Ho 0.3322 0.0780 0.9279
Ho 0.4123 0.5569 0.1716
Ho 0.4431 0.8284 0.5877
Ho 0.5569 0.1716 0.4123
Ho 0.5877 0.4431 0.8284
Ho 0.6678 0.9220 0.0721
Ho 0.8284 0.5877 0.4431
Ho 0.9220 0.0721 0.6678
Ho 0.9279 0.3322 0.0780
Ni 0.1443 0.6167 0.3137
Ni 0.3137 0.1443 0.6167
Ni 0.3833 0.6863 0.8557
Ni 0.6167 0.3137 0.1443
Ni 0.6863 0.8557 0.3833
Ni 0.8557 0.3833 0.6863
Au 0.0000 0.0000 0.0000
```

For the spin magnetization, the calculation gives 0.0 μB/f.u. As for the density of states at the Fermi level: 19.003 states/eV per cell.

Least stable = version Q

Version P
# Ho2Ni2Au

An optimized crystal structure of Ho2Ni2Au (PBE, Alexandria). Values from VASP.

Quantum ESPRESSO input file:
```
&SYSTEM
  ibrav = 0, nat = 10, ntyp = 3
/
ATOMIC_SPECIES
Ho 164.93 Ho.upf
Ni 58.69 Ni.upf
Au 196.97 Au.upf
CELL_PARAMETERS angstrom
7.2044 0.0000 0.0000
0.0000 7.2044 0.0000
0.0000 0.0000 3.6228
ATOMIC_POSITIONS crystal
Ho 0.1781 0.3219 0.0000
Ho 0.3219 0.8219 0.0000
Ho 0.6781 0.1781 0.0000
Ho 0.8219 0.6781 0.0000
Ni 0.1195 0.6195 0.5000
Ni 0.3805 0.1195 0.5000
Ni 0.6195 0.8805 0.5000
Ni 0.8805 0.3805 0.5000
Au 0.0000 0.0000 0.5000
Au 0.5000 0.5000 0.5000
```

For the spin magnetization, the calculation gives 0.0 μB/f.u. As for the density of states at the Fermi level: 5.418 states/eV per cell.

Version Q
# Ho2Ni2Au

An optimized crystal structure of Ho2Ni2Au (PBE, Alexandria). Values from VASP.

Quantum ESPRESSO input file:
```
&SYSTEM
  ibrav = 0, nat = 5, ntyp = 3
/
ATOMIC_SPECIES
Ho 164.93 Ho.upf
Ni 58.69 Ni.upf
Au 196.97 Au.upf
CELL_PARAMETERS angstrom
1.9395 -6.8434 0.0000
1.9395 6.8434 0.0000
0.0000 0.0000 3.5901
ATOMIC_POSITIONS crystal
Ho 0.1308 0.8692 0.0000
Ho 0.8692 0.1308 0.0000
Ni 0.3017 0.6983 0.5000
Ni 0.6983 0.3017 0.5000
Au 0.5000 0.5000 0.5000
```

For the spin magnetization, the calculation gives 0.0 μB/f.u. As for the density of states at the Fermi level: 3.746 states/eV per cell.

Least stable = version P